[1]
This record from OQMD describes an optimized crystal structure of CuBiOsPb. The functional is PBE.

abc: 6.8370 6.8370 6.8370
angles: 90.00 90.00 90.00
Space group F-43m (No. 216)
Asymmetric unit:
Cu  0.0000  0.0000  0.0000 x4
Bi  0.2500  0.2500  0.7500 x4
Os  0.0000  0.0000  0.5000 x4
Pb  0.2500  0.2500  0.2500 x4

E above lowest polymorph in meV per atom: 0.0

=====

[2]
This record from OQMD describes an optimized crystal structure of Zr3Zn3Pt2Au. The functional is PBE.

abc: 7.3762 7.3762 3.4203
angles: 90.00 90.00 120.00
Space group P-62m (No. 189)
Asymmetric unit:
Zr  0.0000  0.3968  0.0000 x3
Zn  0.0000  0.7230  0.5000 x3
Pt  0.3333  0.6667  0.5000 x2
Au  0.0000  0.0000  0.0000 x1

DFT formation energy in eV/atom: -0.72

=====

[3]
This record from OQMD describes an optimized crystal structure of Pr3CuSnS7. The functional is PBE.

abc: 10.2515 10.2515 6.0582
angles: 90.00 90.00 120.00
Space group P6_3 (No. 173)
Asymmetric unit:
Pr  0.1326  0.3564  0.0000 x6
Cu  0.0000  0.0000  0.0371 x2
Sn  0.3333  0.6667  0.4258 x2
S  0.0895  0.5757  0.2540 x6
S  0.0960  0.2530  0.5283 x6
S  0.3333  0.6667  0.8166 x2

Energy in eV for the cell shown: -136.59